Mn3NbCl2O6, optimized geometry, DFT PBE+U; raw total energy = -7.046 eV per atom
1.0
5.226 -3.071 0.000
5.226 3.071 0.000
-1.251 0.000 5.262
Mn Nb Cl O
3 1 2 6
Direct
0.000 0.000 0.000
0.000 0.500 0.500
0.500 0.000 0.500
0.500 0.500 0.500
0.195 0.195 0.823
0.805 0.805 0.177
0.193 0.673 0.702
0.305 0.305 0.332
0.327 0.807 0.298
0.673 0.193 0.702
0.695 0.695 0.668
0.807 0.327 0.298